No. 1
Compound: TlInTc2
Source: Alexandria
Functional: PBE
Structure: relaxed

```
TlInTc2
1.0
3.039 0.000 0.000
0.000 3.049 -0.017
0.000 1.562 8.451
In Tc Tl
1 2 1
direct
0.500 0.538 0.799
0.000 0.919 0.037
0.500 0.337 0.203
0.000 0.706 0.462
```

Summary:
DFT total energy in eV/atom: -6.26
Space-group type: No. 6
Energy above the lowest structure with this stoichiometry in meV per atom: 0
Density of states at the Fermi level in states/eV/f.u.: 2.54

No. 2
Compound: Tl2InTc
Source: Alexandria
Functional: PBE
Structure: relaxed

```
Tl2InTc
1.0
3.784 0.000 0.000
0.000 3.784 0.000
0.000 0.000 6.125
In Tc Tl
1 1 2
direct
0.500 0.500 0.250
0.500 0.500 0.750
0.000 0.000 0.985
0.000 0.000 0.515
```

Summary:
DFT total energy in eV/atom: -3.86
Space-group type: No. 123
Energy above the lowest structure with this stoichiometry in meV per atom: 236
Density of states at the Fermi level in states/eV/f.u.: 1.20

No. 3
Compound: Tl2InTc
Source: Alexandria
Functional: PBE
Structure: relaxed

```
Tl2InTc
1.0
5.576 -0.002 0.000
2.145 5.147 0.000
-3.860 -2.572 3.094
In Tc Tl
1 1 2
direct
0.500 0.500 0.000
0.750 0.250 0.500
0.000 0.000 0.000
0.250 0.750 0.500
```

Summary:
DFT total energy in eV/atom: -3.83
Space-group type: No. 119
Energy above the lowest structure with this stoichiometry in meV per atom: 263
Density of states at the Fermi level in states/eV/f.u.: 2.13

No. 4
Compound: TlIn2Tc
Source: Alexandria
Functional: PBE
Structure: relaxed

```
TlIn2Tc
1.0
-2.946 -2.796 4.019
3.038 -1.732 4.519
-1.501 4.625 -3.001
In Tc Tl
2 1 1
direct
0.024 0.024 0.000
0.476 0.476 0.000
0.250 0.750 0.500
0.750 0.250 0.500
```

Summary:
DFT total energy in eV/atom: -4.08
Space-group type: No. 71
Density of states at the Fermi level in states/eV/f.u.: 2.76

No. 5
Compound: TlInTc2
Source: Alexandria
Functional: PBE
Structure: relaxed

```
TlInTc2
1.0
-1.889 4.011 -1.235
-2.863 -1.403 -0.181
-1.058 1.083 5.137
In Tc Tl
1 2 1
direct
0.500 0.750 0.750
0.000 0.095 0.951
0.000 0.405 0.549
0.500 0.250 0.250
```

Summary:
DFT total energy in eV/atom: -5.84
Space-group type: No. 10
Energy above the lowest structure with this stoichiometry in meV per atom: 423
Density of states at the Fermi level in states/eV/f.u.: 3.36

No. 6
Compound: Tl2InTc
Source: Alexandria
Functional: PBE
Structure: relaxed

```
Tl2InTc
1.0
10.634 -0.023 -0.013
10.155 3.154 -0.013
10.155 1.530 2.759
In Tc Tl
1 1 2
direct
0.250 0.250 0.250
0.750 0.750 0.750
0.011 0.011 0.011
0.489 0.489 0.489
```

Summary:
DFT total energy in eV/atom: -3.89
Space-group type: No. 166
Energy above the lowest structure with this stoichiometry in meV per atom: 205
Density of states at the Fermi level in states/eV/f.u.: 3.74

No. 7
Compound: TlIn2Tc
Source: Alexandria
Functional: PBE
Structure: relaxed

```
TlIn2Tc
1.0
3.717 0.000 0.000
0.000 3.715 0.000
0.000 0.000 6.093
In Tc Tl
2 1 1
direct
0.000 0.000 0.022
0.000 0.000 0.478
0.500 0.500 0.250
0.500 0.500 0.750
```

Summary:
DFT total energy in eV/atom: -4.18
Space-group type: No. 123
Density of states at the Fermi level in states/eV/f.u.: 1.50

No. 8
Compound: Tl2InTc
Source: Alexandria
Functional: PBE
Structure: relaxed

```
Tl2InTc
1.0
-0.114 -2.885 -1.354
2.480 -0.932 1.774
-5.867 -2.903 6.676
In Tc Tl
1 1 2
direct
0.000 0.000 0.550
0.500 0.500 0.739
0.000 0.000 0.951
0.500 0.500 0.259
```

Summary:
DFT total energy in eV/atom: -4.04
Space-group type: No. 99
Energy above the lowest structure with this stoichiometry in meV per atom: 51
Density of states at the Fermi level in states/eV/f.u.: 3.08

No. 9
Compound: TlIn2Tc
Source: Alexandria
Functional: PBE
Structure: relaxed

```
TlIn2Tc
1.0
9.922 0.029 0.017
9.375 3.251 0.017
9.375 1.593 2.834
In Tc Tl
2 1 1
direct
0.987 0.987 0.987
0.513 0.513 0.513
0.250 0.250 0.250
0.750 0.750 0.750
```

Summary:
DFT total energy in eV/atom: -4.22
Space-group type: No. 166
Density of states at the Fermi level in states/eV/f.u.: 2.50

No. 10
Compound: TlIn2Tc
Source: Alexandria
Functional: PBE
Structure: relaxed

```
TlIn2Tc
1.0
-2.435 -0.986 2.065
2.112 -2.128 1.474
2.182 5.896 5.386
In Tc Tl
2 1 1
direct
0.000 0.000 0.063
0.000 0.000 0.437
0.500 0.500 0.250
0.500 0.500 0.750
```

Summary:
DFT total energy in eV/atom: -4.27
Space-group type: No. 123
Density of states at the Fermi level in states/eV/f.u.: 2.67

No. 11
Compound: Tl2InTc
Source: Alexandria
Functional: PBE
Structure: relaxed

```
Tl2InTc
1.0
0.000 3.616 3.616
3.616 0.000 3.616
3.616 3.616 0.000
Tl Tc In
2 1 1
direct
0.250 0.250 0.250
0.750 0.750 0.750
0.000 0.000 0.000
0.500 0.500 0.500
```

Summary:
DFT total energy in eV/atom: -3.66
Space-group type: No. 225
Energy above the lowest structure with this stoichiometry in meV per atom: 439
Density of states at the Fermi level in states/eV/f.u.: 5.02

No. 12
Compound: TlIn2Tc
Source: Alexandria
Functional: PBE
Structure: relaxed

```
TlIn2Tc
1.0
7.486 -0.010 0.008
6.897 2.911 0.008
1.476 0.298 4.461
In Tc Tl
2 1 1
direct
0.001 0.001 0.999
0.178 0.178 0.322
0.505 0.505 0.495
0.816 0.816 0.684
```

Summary:
DFT total energy in eV/atom: -4.27
Space-group type: No. 44
Density of states at the Fermi level in states/eV/f.u.: 3.16

No. 13
Compound: Tl4InTc
Source: Alexandria
Functional: PBE
Structure: relaxed

```
Tl4InTc
1.0
0.816 -2.835 5.492
-4.596 -0.019 4.212
-3.050 -5.289 1.262
Tl In Tc
4 1 1
direct
0.877 0.374 0.374
0.374 0.374 0.877
0.374 0.877 0.374
0.374 0.374 0.374
0.750 0.750 0.750
0.000 0.000 0.000
```

Summary:
DFT total energy in eV/atom: -2.96
Space-group type: No. 216
Density of states at the Fermi level in states/eV/f.u.: 4.87

No. 14
Compound: TlInTc2
Source: Alexandria
Functional: PBE
Structure: relaxed

```
TlInTc2
1.0
-8.853 0.642 -2.264
-9.117 -0.774 0.433
-8.869 2.271 0.323
In Tc Tl
1 2 1
direct
0.750 0.750 0.750
0.001 0.001 0.001
0.499 0.499 0.499
0.250 0.250 0.250
```

Summary:
DFT total energy in eV/atom: -5.82
Space-group type: No. 166
Energy above the lowest structure with this stoichiometry in meV per atom: 442
Density of states at the Fermi level in states/eV/f.u.: 2.43

No. 15
Compound: TlInTc2
Source: Alexandria
Functional: PBE
Structure: relaxed

```
TlInTc2
1.0
-1.538 -1.219 -2.336
0.177 -2.746 1.317
-7.317 1.471 4.051
In Tc Tl
1 2 1
direct
0.500 0.500 0.798
0.000 0.000 0.038
0.500 0.500 0.201
0.000 0.000 0.464
```

Summary:
DFT total energy in eV/atom: -6.22
Space-group type: No. 99
Energy above the lowest structure with this stoichiometry in meV per atom: 45
Density of states at the Fermi level in states/eV/f.u.: 2.69